[1]
Computed, not measured: a relaxed structure of Ho3Ni2Ge3 at the PBE-GGA level of DFT.

Cell lengths 5.546, 5.546, 14.057 Å; angles 90.00, 90.00, 135.55 degrees
Fractional coordinates of all 16 atoms:
Ge  0.877  0.123  0.038
Ge  0.164  0.836  0.250
Ge  0.877  0.123  0.462
Ge  0.123  0.877  0.538
Ge  0.836  0.164  0.750
Ge  0.123  0.877  0.962
Ho  0.588  0.412  0.109
Ho  0.866  0.134  0.250
Ho  0.588  0.412  0.391
Ho  0.412  0.588  0.609
Ho  0.134  0.866  0.750
Ho  0.412  0.588  0.891
Ni  0.299  0.701  0.100
Ni  0.299  0.701  0.400
Ni  0.701  0.299  0.600
Ni  0.701  0.299  0.900

Computed properties:
**Space-group type**: Cmcm (63)
**Final energy**: -5.669 eV per atom

***

[2]
Computed, not measured: a relaxed structure of RbHo3Hf2 at the PBE-GGA level of DFT.

Cell lengths 6.626, 6.626, 5.226 Å; angles 90.00, 90.00, 119.99 degrees
Fractional coordinates of all 6 atoms:
Hf  0.667  0.333  0.000
Hf  0.333  0.667  0.000
Ho  0.500  0.000  0.500
Ho  0.000  0.500  0.500
Ho  0.500  0.500  0.500
Rb  0.000  0.000  0.000

Computed properties:
**Space-group type**: P6/mmm (191)
**Final energy**: -4.942 eV per atom

***

[3]
Computed, not measured: a relaxed structure of ScCoCuSi at the PBE-GGA level of DFT.

Cell lengths 4.272, 4.272, 4.272 Å; angles 60.00, 60.00, 60.00 degrees
Last column: magnetic moment on the atom in μB.
Fractional coordinates of all 4 atoms:
Co  0.500  0.500  0.500  -1.26
Cu  0.250  0.250  0.250  0.00
Sc  0.750  0.750  0.750  0.10
Si  0.000  0.000  0.000  -0.03

Computed properties:
**Space-group type**: F-43m (216)
**Excess energy over the best structure of this formula in the dataset**: 267 meV/atom

***

| no. | magnetic moment (μB per atom) |
| --- | --- |
| 1 | 0.000 |
| 2 | 0.004 |
| 3 | 0.313 |